# YHoTlO, relaxed, DFT PBE
data_YHoTlO
_chemical_formula_sum 'Y2 Ho2 Tl2 O2'
_space_group_name_H-M_alt 'I m m 2'
_space_group_IT_number 44
_cell_length_a 3.639
_cell_length_b 3.654
_cell_length_c 13.911
_cell_angle_alpha 90.00
_cell_angle_beta 90.00
_cell_angle_gamma 90.00
loop_
_space_group_symop_operation_xyz
'x,y,z'
'-x,-y,z'
'-x,y,z'
'x,-y,z'
'x+1/2,y+1/2,z+1/2'
'-x+1/2,-y+1/2,z+1/2'
'-x+1/2,y+1/2,z+1/2'
'x+1/2,-y+1/2,z+1/2'
loop_
_atom_site_label
_atom_site_fract_x
_atom_site_fract_y
_atom_site_fract_z
Y1 0.000 0.000 0.000
Ho1 0.000 0.000 0.314
Tl1 0.000 0.000 0.658
O1 0.000 0.500 0.905
# - raw formation energy (eV/atom) = -1.6581
# - mass density (g/cm³) = 8.5


# Y2HoTlO, relaxed, DFT PBE
data_Y2HoTlO
_chemical_formula_sum 'Y2 Ho1 Tl1 O1'
_space_group_name_H-M_alt 'P 4/m m m'
_space_group_IT_number 123
_space_group_name_Hall '-P 4 2'
_cell_length_a 4.812
_cell_length_b 4.812
_cell_length_c 4.742
_cell_angle_alpha 90.00
_cell_angle_beta 90.00
_cell_angle_gamma 90.00
loop_
_atom_site_label
_atom_site_fract_x
_atom_site_fract_y
_atom_site_fract_z
Y1 0.000 0.500 0.000
Ho1 0.000 0.000 0.500
Tl1 0.500 0.500 0.500
O1 0.000 0.000 0.000
# - raw formation energy (eV/atom) = -1.3568
# - mass density (g/cm³) = 8.5


Number 1: DOS at the Fermi energy 1.57 states/eV/f.u.. Number 2: DOS at the Fermi energy 1.68 states/eV/f.u..